# Mg3Ag2

A geometry-optimized Mg3Ag2 structure (GGA-PBEsol, the Alexandria database).

Unit cell a=4.5999 b=4.5999 c=5.5790 alpha=90.00 beta=90.00 gamma=120.00
Element x y z (fractional)
1 Mg 0.0000 0.0000 0.0000
2 Mg 0.3333 0.6667 0.3543
3 Mg 0.6667 0.3333 0.6457
4 Ag 0.3333 0.6667 0.8565
5 Ag 0.6667 0.3333 0.1435

For the calculated volume, the calculation gives 20.446 Å³/atom. As for the formation energy: -0.72 eV per formula unit. The space-group type is P-3m1. The calculation puts the excess energy over the best structure of this formula in the dataset at 0.087 eV per formula unit. As for the total moment: 0.0 μB/f.u.